# 1
# K2Sb2Se5 | Alexandria | PBE-GGA | relaxed
data_K2Sb2Se5
_chemical_formula_sum 'K2 Sb2 Se5'
_symmetry_space_group_name_H-M 'P -1'
_symmetry_Int_Tables_number 2
_cell_length_a 5.8002
_cell_length_b 7.5599
_cell_length_c 8.0980
_cell_angle_alpha 110.28
_cell_angle_beta 109.41
_cell_angle_gamma 90.44
loop_
_symmetry_equiv_pos_as_xyz
'x,y,z'
'-x,-y,-z'
loop_
_atom_site_label
_atom_site_type_symbol
_atom_site_fract_x
_atom_site_fract_y
_atom_site_fract_z
K1 K 0.0596 0.3185 0.1293
Sb1 Sb 0.3589 0.1718 0.6737
Se1 Se 0.2119 0.7982 0.3703
Se2 Se 0.4234 0.9088 0.8286
Se3 Se 0.5000 0.5000 0.0000
# - ΔE_f (raw) (eV per atom) = -0.575
# - theoretical density (Mg/m³) = 3.824
# - relative energy among the computed polymorphs (meV per atom) = 0

# 2
# Ba6NaBr12 | Alexandria | PBE-GGA | relaxed
data_Ba6NaBr12
_chemical_formula_sum 'Ba18 Na3 Br36'
_symmetry_space_group_name_H-M 'R -3'
_symmetry_Int_Tables_number 148
_symmetry_space_group_name_Hall '-R 3'
_cell_length_a 14.3595
_cell_length_b 14.3595
_cell_length_c 13.1965
_cell_angle_alpha 90.00
_cell_angle_beta 90.00
_cell_angle_gamma 120.00
loop_
_atom_site_label
_atom_site_type_symbol
_atom_site_fract_x
_atom_site_fract_y
_atom_site_fract_z
Ba1 Ba 0.0559 0.7850 0.1527
Na1 Na 0.0000 0.0000 0.5000
Br1 Br 0.0399 0.8192 0.8990
Br2 Br 0.0475 0.8405 0.3923
# - ΔE_f (raw) (eV per atom) = -2.032
# - theoretical density (Mg/m³) = 3.817

# 3
# Rb2LaErO4 | Alexandria | PBE-GGA | relaxed
data_Rb2LaErO4
_chemical_formula_sum 'Rb2 La1 Er1 O4'
_symmetry_space_group_name_H-M 'P 1 2/m 1'
_symmetry_Int_Tables_number 10
_cell_length_a 6.2622
_cell_length_b 3.6115
_cell_length_c 6.8975
_cell_angle_alpha 90.00
_cell_angle_beta 107.58
_cell_angle_gamma 90.00
loop_
_symmetry_equiv_pos_as_xyz
'x,y,z'
'-x,-y,-z'
'-x,y,-z'
'x,-y,z'
loop_
_atom_site_label
_atom_site_type_symbol
_atom_site_fract_x
_atom_site_fract_y
_atom_site_fract_z
Rb1 Rb 0.0000 0.0000 0.0000
Rb2 Rb 0.5000 0.5000 0.0000
La1 La 0.0000 0.5000 0.5000
Er1 Er 0.5000 0.0000 0.5000
O1 O 0.2420 0.0000 0.6778
O2 O 0.2872 0.5000 0.3238
# - ΔE_f (raw) (eV per atom) = -2.651
# - theoretical density (Mg/m³) = 6.042

# 4
# AlFeSi2 | Alexandria | PBE-GGA | relaxed
data_AlFeSi2
_chemical_formula_sum 'Al2 Fe2 Si4'
_symmetry_space_group_name_H-M 'C 1 2/m 1'
_symmetry_Int_Tables_number 12
_cell_length_a 7.9534
_cell_length_b 2.8573
_cell_length_c 4.5132
_cell_angle_alpha 90.00
_cell_angle_beta 96.94
_cell_angle_gamma 90.00
loop_
_symmetry_equiv_pos_as_xyz
'x,y,z'
'-x,-y,-z'
'-x,y,-z'
'x,-y,z'
'x+1/2,y+1/2,z'
'-x+1/2,-y+1/2,-z'
'-x+1/2,y+1/2,-z'
'x+1/2,-y+1/2,z'
loop_
_atom_site_label
_atom_site_type_symbol
_atom_site_fract_x
_atom_site_fract_y
_atom_site_fract_z
Al1 Al 0.0000 0.0000 0.0000
Fe1 Fe 0.0000 0.5000 0.5000
Si1 Si 0.2381 0.0000 0.7227
# - ΔE_f (raw) (eV per atom) = -0.089
# - theoretical density (Mg/m³) = 4.534

# 5
# Zn2CuTe | Alexandria | PBE-GGA | relaxed
data_Zn2CuTe
_chemical_formula_sum 'Zn2 Cu1 Te1'
_symmetry_space_group_name_H-M 'P 1 2/m 1'
_symmetry_Int_Tables_number 10
_cell_length_a 4.2332
_cell_length_b 4.4021
_cell_length_c 4.2488
_cell_angle_alpha 90.00
_cell_angle_beta 99.26
_cell_angle_gamma 90.00
loop_
_symmetry_equiv_pos_as_xyz
'x,y,z'
'-x,-y,-z'
'-x,y,-z'
'x,-y,z'
loop_
_atom_site_label
_atom_site_type_symbol
_atom_site_fract_x
_atom_site_fract_y
_atom_site_fract_z
Zn1 Zn 0.2024 0.0000 0.2968
Cu1 Cu 0.0000 0.5000 0.5000
Te1 Te 0.5000 0.5000 0.0000
# - ΔE_f (raw) (eV per atom) = 0.122
# - theoretical density (Mg/m³) = 6.842
# - relative energy among the computed polymorphs (meV per atom) = 102

# 6
# Sm6MgSe8 | Alexandria | PBE-GGA | relaxed
data_Sm6MgSe8
_chemical_formula_sum 'Sm18 Mg3 Se24'
_symmetry_space_group_name_H-M 'R -3'
_symmetry_Int_Tables_number 148
_symmetry_space_group_name_Hall '-R 3'
_cell_length_a 8.6726
_cell_length_b 8.6726
_cell_length_c 17.6752
_cell_angle_alpha 90.00
_cell_angle_beta 90.00
_cell_angle_gamma 120.00
loop_
_atom_site_label
_atom_site_type_symbol
_atom_site_fract_x
_atom_site_fract_y
_atom_site_fract_z
Sm1 Sm 0.0069 0.6159 0.0813
Mg1 Mg 0.0000 0.0000 0.0000
Se1 Se 0.0000 0.0000 0.3254
Se2 Se 0.0034 0.2652 0.0877
# - ΔE_f (raw) (eV per atom) = -1.684
# - theoretical density (Mg/m³) = 6.742

# 7
# Ba4MgHg | Alexandria | PBE-GGA | relaxed
data_Ba4MgHg
_chemical_formula_sum 'Ba8 Mg2 Hg2'
_symmetry_space_group_name_H-M 'C 1 m 1'
_symmetry_Int_Tables_number 8
_cell_length_a 8.4884
_cell_length_b 8.4857
_cell_length_c 8.6317
_cell_angle_alpha 90.00
_cell_angle_beta 90.02
_cell_angle_gamma 90.00
loop_
_symmetry_equiv_pos_as_xyz
'x,y,z'
'x,-y,z'
'x+1/2,y+1/2,z'
'x+1/2,-y+1/2,z'
loop_
_atom_site_label
_atom_site_type_symbol
_atom_site_fract_x
_atom_site_fract_y
_atom_site_fract_z
Ba1 Ba 0.0000 0.2496 0.0000
Ba2 Ba 0.9998 0.2500 0.4730
Mg1 Mg 0.2488 0.0000 0.7372
Hg1 Hg 0.2502 0.5000 0.2364
# - energy relative to the elements (eV/f.u.) = -0.39
# - theoretical density (Mg/m³) = 4.135
# - relative energy among the computed polymorphs (meV per atom) = 139

# 8
# PbSeI | Alexandria | PBE-GGA | relaxed
data_PbSeI
_chemical_formula_sum 'Pb1 Se1 I1'
_symmetry_space_group_name_H-M 'P 3 m 1'
_symmetry_Int_Tables_number 156
_cell_length_a 4.2479
_cell_length_b 4.2479
_cell_length_c 6.6383
_cell_angle_alpha 90.00
_cell_angle_beta 90.00
_cell_angle_gamma 120.00
loop_
_symmetry_equiv_pos_as_xyz
'x,y,z'
'-y,x-y,z'
'-x+y,-x,z'
'-y,-x,z'
'-x+y,y,z'
'x,x-y,z'
loop_
_atom_site_label
_atom_site_type_symbol
_atom_site_fract_x
_atom_site_fract_y
_atom_site_fract_z
Pb1 Pb 0.0000 0.0000 0.0000
Se1 Se 0.6667 0.3333 0.7699
I1 I 0.3333 0.6667 0.3355
# - ΔE_f (raw) (eV per atom) = -0.276
# - theoretical density (Mg/m³) = 6.612
# - relative energy among the computed polymorphs (meV per atom) = 174

# 9
# Pr8Te4RhS3 | Alexandria | PBE-GGA | relaxed
data_Pr8Te4RhS3
_chemical_formula_sum 'Pr24 Te12 Rh3 S9'
_symmetry_space_group_name_H-M 'R -3 m'
_symmetry_Int_Tables_number 166
_symmetry_space_group_name_Hall '-R 3 2"'
_cell_length_a 8.5800
_cell_length_b 8.5800
_cell_length_c 21.8268
_cell_angle_alpha 90.00
_cell_angle_beta 90.00
_cell_angle_gamma 120.00
loop_
_atom_site_label
_atom_site_type_symbol
_atom_site_fract_x
_atom_site_fract_y
_atom_site_fract_z
Pr1 Pr 0.0000 0.0000 0.2366
Pr2 Pr 0.0036 0.5018 0.2378
Te1 Te 0.0000 0.0000 0.0000
Te2 Te 0.0000 0.5000 0.0000
Rh1 Rh 0.0000 0.0000 0.5000
S1 S 0.0000 0.5000 0.5000
# - ΔE_f (raw) (eV per atom) = -1.560
# - theoretical density (Mg/m³) = 6.575

# 10
# NaLi2Ir | Alexandria | PBE-GGA | relaxed
data_NaLi2Ir
_chemical_formula_sum 'Na4 Li8 Ir4'
_symmetry_space_group_name_H-M 'F m -3 m'
_symmetry_Int_Tables_number 225
_symmetry_space_group_name_Hall '-F 4 2 3'
_cell_length_a 6.3075
_cell_length_b 6.3075
_cell_length_c 6.3075
_cell_angle_alpha 90.00
_cell_angle_beta 90.00
_cell_angle_gamma 90.00
loop_
_atom_site_label
_atom_site_type_symbol
_atom_site_fract_x
_atom_site_fract_y
_atom_site_fract_z
Na1 Na 0.0000 0.0000 0.0000
Li1 Li 0.2500 0.2500 0.2500
Ir1 Ir 0.0000 0.0000 0.5000
# - energy relative to the elements (eV/f.u.) = 0.88
# - theoretical density (Mg/m³) = 6.064
# - relative energy among the computed polymorphs (meV per atom) = 158

# 11
# Ta2TeRh | Alexandria | PBE-GGA | relaxed
data_Ta2TeRh
_chemical_formula_sum 'Ta8 Te4 Rh4'
_symmetry_space_group_name_H-M 'F -4 3 m'
_symmetry_Int_Tables_number 216
_symmetry_space_group_name_Hall 'F -4 2 3'
_cell_length_a 6.6237
_cell_length_b 6.6237
_cell_length_c 6.6237
_cell_angle_alpha 90.00
_cell_angle_beta 90.00
_cell_angle_gamma 90.00
loop_
_atom_site_label
_atom_site_type_symbol
_atom_site_fract_x
_atom_site_fract_y
_atom_site_fract_z
Ta1 Ta 0.0000 0.0000 0.0000
Ta2 Ta 0.2500 0.2500 0.2500
Te1 Te 0.2500 0.2500 0.7500
Rh1 Rh 0.0000 0.0000 0.5000
# - ΔE_f (raw) (eV per atom) = 0.261
# - theoretical density (Mg/m³) = 13.540

# 12
# TcNiTeCl2 | Alexandria | PBE-GGA | relaxed
data_TcNiTeCl2
_chemical_formula_sum 'Tc1 Ni1 Te1 Cl2'
_symmetry_space_group_name_H-M 'P 4/m m m'
_symmetry_Int_Tables_number 123
_symmetry_space_group_name_Hall '-P 4 2'
_cell_length_a 4.6289
_cell_length_b 4.6289
_cell_length_c 5.7019
_cell_angle_alpha 90.00
_cell_angle_beta 90.00
_cell_angle_gamma 90.00
loop_
_atom_site_label
_atom_site_type_symbol
_atom_site_fract_x
_atom_site_fract_y
_atom_site_fract_z
Tc1 Tc 0.0000 0.0000 0.0000
Ni1 Ni 0.5000 0.5000 0.5000
Te1 Te 0.0000 0.0000 0.5000
Cl1 Cl 0.0000 0.5000 0.0000
# - ΔE_f (raw) (eV per atom) = 0.465
# - theoretical density (Mg/m³) = 4.828

no.,D(E_F) (states/eV/cell)
1,0.0
2,22.3
3,0.0
4,1.9
5,1.5
6,13.0
7,23.8
8,2.4
9,24.2
10,54.4
11,6.0
12,6.1